(1)
# Ti2ReIr meta-GGA SCAN single point on PBEsol structure
data_Ti2ReIr
_space_group_name_H-M_alt 'F m -3 m'
_space_group_IT_number 225
_space_group_name_Hall '-F 4 2 3'
_cell_length_a 6.1446
_cell_length_b 6.1446
_cell_length_c 6.1446
_cell_angle_alpha 90.00
_cell_angle_beta 90.00
_cell_angle_gamma 90.00
loop_
_atom_site_label
_atom_site_type_symbol
_atom_site_fract_x
_atom_site_fract_y
_atom_site_fract_z
Ti1 Ti 0.2500 0.2500 0.2500
Re1 Re 0.0000 0.0000 0.0000
Ir1 Ir 0.0000 0.0000 0.5000
# * energy of formation from the pure elements: -975 meV per atom

(2)
# TlReIr2 meta-GGA SCAN single point on PBEsol structure
data_TlReIr2
_space_group_name_H-M_alt 'C 1 2/m 1'
_space_group_IT_number 12
_space_group_name_Hall '-C 2y'
_cell_length_a 9.1628
_cell_length_b 2.8115
_cell_length_c 4.9573
_cell_angle_alpha 90.00
_cell_angle_beta 97.98
_cell_angle_gamma 90.00
loop_
_atom_site_label
_atom_site_type_symbol
_atom_site_fract_x
_atom_site_fract_y
_atom_site_fract_z
Tl1 Tl 0.0000 0.0000 0.0000
Re1 Re 0.0000 0.5000 0.5000
Ir1 Ir 0.2424 0.0000 0.7269
# * energy of formation from the pure elements: 585 meV per atom